The following is a DFT calculation (PBE) of an optimized crystal structure of NbS.

Calculated values
As for the magnetic moment: 0.00 μB per cell. The value obtained for the energy is -7.78 eV/atom. As for the energy relative to the elements, uncorrected: -0.685 eV/atom. Its space group is P2_12_12_1.

Cell: 6.291 4.667 10.168 Å, 90.00 90.00 90.00°
Element x y z (fractional)
1 Nb 0.725 0.052 0.982
2 Nb 0.225 0.448 0.018
3 Nb 0.275 0.552 0.518
4 Nb 0.775 0.948 0.482
5 Nb 0.363 0.006 0.815
6 Nb 0.863 0.494 0.185
7 Nb 0.637 0.506 0.685
8 Nb 0.137 0.994 0.315
9 S 0.361 0.956 0.052
10 S 0.861 0.544 0.948
11 S 0.639 0.456 0.448
12 S 0.139 0.044 0.552
13 S 0.270 0.503 0.765
14 S 0.770 0.997 0.235
15 S 0.730 0.003 0.735
16 S 0.230 0.497 0.265